Computed, not measured: a crystal of BeZnSbTe2 relaxed with PBEsol at the meta-GGA SCAN level of DFT.

Formation energy without anion corrections   0.997 eV per atom
DOS at the Fermi energy   4.484 states/eV per cell
SG   P4/mmm
VASP energy   -24.930 eV/atom

a b c (Å): 5.2144 5.2144 5.0393
angles (deg): 90.00 90.00 90.00
With the nearest neighbours (Å) after each atom.
Fractional positions:
Be1 0.0000 0.0000 0.0000  8 Te 3.63, 4 Sb 3.69
Zn1 0.5000 0.5000 0.5000  2 Sb 2.52, 4 Te 2.61
Sb1 0.5000 0.5000 0.0000  2 Zn 2.52
Te1 0.0000 0.5000 0.5000  2 Zn 2.61
Te2 0.5000 0.0000 0.5000  2 Zn 2.61